Crystalline CrGaHRh2 at its relaxed geometry. Source: Alexandria via LeMat-Bulk, functional PBE.

```
data_CrGaHRh2
_chemical_formula_sum 'Cr1 Ga1 H1 Rh2'
_cell_length_a 3.9911
_cell_length_b 3.9911
_cell_length_c 3.7008
_cell_angle_alpha 90.00
_cell_angle_beta 90.00
_cell_angle_gamma 90.00
_symmetry_space_group_name_H-M 'P 4/m m m'
_symmetry_Int_Tables_number 123
_symmetry_space_group_name_Hall '-P 4 2'
loop_
_atom_site_label
_atom_site_type_symbol
_atom_site_fract_x
_atom_site_fract_y
_atom_site_fract_z
Cr1 Cr 0.0000 0.0000 0.0000
Ga1 Ga 0.5000 0.5000 0.0000
H1 H 0.0000 0.0000 0.5000
Rh1 Rh 0.0000 0.5000 0.5000
```

## Properties
As for the total energy: -32.07 eV per cell. The calculation puts the magnetic moment at 3.521 μB per formula unit.